# Re4C | Alexandria via LeMat-Bulk | PBE-GGA | optimized geometry
data_Re4C
_symmetry_space_group_name_H-M 'P 1'
_symmetry_Int_Tables_number 1
_cell_length_a 4.554
_cell_length_b 4.554
_cell_length_c 4.554
_cell_angle_alpha 109.47
_cell_angle_beta 109.47
_cell_angle_gamma 109.47
loop_
_symmetry_equiv_pos_as_xyz
'x,y,z'
loop_
_atom_site_label
_atom_site_fract_x
_atom_site_fract_y
_atom_site_fract_z
Re1 0.000 0.000 0.500
Re2 0.000 0.500 0.000
Re3 0.500 0.500 0.500
Re4 0.500 0.000 0.000
C1 0.000 0.000 0.000
# - space group = No. 229
# - energy of formation (eV per atom) = 1.199
# - total moment (μB per atom) = 0.00
# - crystal system = cubic

# ReC3 | Alexandria via LeMat-Bulk | PBE-GGA | optimized geometry
data_ReC3
_symmetry_space_group_name_H-M 'P 1'
_symmetry_Int_Tables_number 1
_cell_length_a 5.426
_cell_length_b 5.426
_cell_length_c 5.426
_cell_angle_alpha 28.55
_cell_angle_beta 28.55
_cell_angle_gamma 28.55
loop_
_symmetry_equiv_pos_as_xyz
'x,y,z'
loop_
_atom_site_label
_atom_site_fract_x
_atom_site_fract_y
_atom_site_fract_z
Re1 0.000 0.000 0.000
C1 0.231 0.231 0.231
C2 0.769 0.769 0.769
C3 0.500 0.500 0.500
# - space group = No. 166
# - energy of formation (eV per atom) = 1.942
# - total moment (μB per atom) = 0.00
# - crystal system = trigonal

# Re2C | Alexandria via LeMat-Bulk | PBE-GGA | optimized geometry
data_Re2C
_symmetry_space_group_name_H-M 'P 1'
_symmetry_Int_Tables_number 1
_cell_length_a 5.069
_cell_length_b 5.069
_cell_length_c 5.069
_cell_angle_alpha 146.63
_cell_angle_beta 146.32
_cell_angle_gamma 48.14
loop_
_symmetry_equiv_pos_as_xyz
'x,y,z'
loop_
_atom_site_label
_atom_site_fract_x
_atom_site_fract_y
_atom_site_fract_z
Re1 0.847 0.847 0.000
Re2 0.153 0.153 0.000
C1 0.000 0.500 0.500
# - space group = No. 71
# - energy of formation (eV per atom) = 0.443
# - total moment (μB per atom) = 0.00
# - crystal system = orthorhombic

Which of these has the highest energy of formation?
ReC3